The following is a DFT calculation (GGA-PBE) of crystalline Cs3Sc3PaS8 at its relaxed geometry.

Total magnetization = 0.068 μB per atom
DOS at the Fermi energy = 0.481 states/eV per atom
Raw total energy = -89.62 eV/cell
Mass density = 4.0 g/cm3
Symmetry = No. 166

Cell lengths 9.3002, 9.3002, 9.3002 Å; angles 49.43, 49.43, 49.43 degrees
Closest atoms and distances in Å follow each position.
Element x y z (fractional)
Cs 0.0000 0.5000 0.5000  6 S 3.49-3.50, 4 Cs 3.89
Cs 0.5000 0.0000 0.5000  6 S 3.49-3.50, 4 Cs 3.89
Cs 0.5000 0.5000 0.0000  6 S 3.49-3.50, 4 Cs 3.89
Sc 0.0000 0.0000 0.5000  6 S 2.64
Sc 0.0000 0.5000 0.0000  6 S 2.64
Sc 0.5000 0.0000 0.0000  6 S 2.64
Pa 0.5000 0.5000 0.5000  6 S 2.71
S 0.2165 0.7292 0.7292  2 Sc 2.64, 1 Pa 2.71
S 0.2237 0.2237 0.2237  3 Sc 2.64
S 0.2708 0.2708 0.7835  2 Sc 2.64, 1 Pa 2.71
S 0.2708 0.7835 0.2708  2 Sc 2.64, 1 Pa 2.71
S 0.7292 0.2165 0.7292  2 Sc 2.64, 1 Pa 2.71
S 0.7292 0.7292 0.2165  2 Sc 2.64, 1 Pa 2.71
S 0.7763 0.7763 0.7763  3 Sc 2.64
S 0.7835 0.2708 0.2708  2 Sc 2.64, 1 Pa 2.71